The following is a PBE-GGA calculation of a relaxed LiErScGa crystal, from Alexandria via LeMat-Bulk.

Output
- DOS at the Fermi energy (states/eV/f.u.) = 3.568
- formation energy from the elements (eV/atom) = -0.32

The structure in POSCAR format:
```
LiErScGa
1.0
-1.0388 -1.1132 -4.6733
0.6930 -4.5784 -1.6482
-3.8675 -2.8469 -1.0469
Sc Ga Er Li
1 1 1 1
Cartesian
-2.1067 -4.2692 -3.6842 Sc
-1.0533 -2.1346 -1.8421 Ga
0.0000 0.0000 0.0000 Er
-3.1600 -6.4038 -5.5263 Li
```